First-principles (PBE) data for a relaxed structure of NbBiI2O, as listed in Alexandria via LeMat-Bulk.

```
data_NbBiI2O
_chemical_formula_sum 'Nb1 Bi1 I2 O1'
_symmetry_space_group_name_H-M 'P 4/m m m'
_symmetry_Int_Tables_number 123
_symmetry_space_group_name_Hall '-P 4 2'
_cell_length_a 5.9400
_cell_length_b 5.9400
_cell_length_c 3.9138
_cell_angle_alpha 90.00
_cell_angle_beta 90.00
_cell_angle_gamma 90.00
loop_
_atom_site_label
_atom_site_type_symbol
_atom_site_fract_x
_atom_site_fract_y
_atom_site_fract_z
_atom_site_occupancy
Nb1 Nb 0.0000 0.0000 0.0000 1
Bi1 Bi 0.5000 0.5000 0.5000 1
I1 I 0.0000 0.5000 0.0000 1
O1 O 0.0000 0.0000 0.5000 1
```

Output
- spin magnetization (μB per formula unit) = 1.59
- raw formation energy (eV/atom) = -0.451
- E above lowest polymorph (eV/f.u.) = 0.00
- E (eV/atom) = -4.8523